1.
Computed, not measured: a relaxed Ir2ClO crystal at the PBE level of DFT.

Structure (CIF):
```
data_Ir2ClO
_space_group_name_H-M_alt 'I -4 2 d'
_space_group_IT_number 122
_space_group_name_Hall 'I -4 2bw'
_cell_length_a 4.456
_cell_length_b 4.456
_cell_length_c 13.450
_cell_angle_alpha 90.00
_cell_angle_beta 90.00
_cell_angle_gamma 90.00
loop_
_atom_site_label
_atom_site_fract_x
_atom_site_fract_y
_atom_site_fract_z
_atom_site_occupancy
Ir1 0.123 0.250 0.125 1
Cl1 0.000 0.000 0.500 1
O1 0.000 0.000 0.000 1
```

Output
The crystal system is tetragonal. The calculation puts the density at 10.84 g/cm3. The density of states at the Fermi level is 0.817 states/eV per atom. The calculation puts the uncorrected formation energy at 0.578 eV per atom. The total magnetic moment is 0.00 μB/f.u.

---

2.
Computed, not measured: a relaxed Ir2ClO2 crystal at the PBE level of DFT.

Structure (CIF):
```
data_Ir2ClO2
_space_group_name_H-M_alt 'I 4/m m m'
_space_group_IT_number 139
_space_group_name_Hall '-I 4 2'
_cell_length_a 4.030
_cell_length_b 4.030
_cell_length_c 9.467
_cell_angle_alpha 90.00
_cell_angle_beta 90.00
_cell_angle_gamma 90.00
loop_
_atom_site_label
_atom_site_fract_x
_atom_site_fract_y
_atom_site_fract_z
_atom_site_occupancy
Ir1 0.000 0.500 0.250 1
Cl1 0.000 0.000 0.000 1
O1 0.000 0.000 0.315 1
```

Output
The crystal system is tetragonal. The calculation puts the density at 9.76 g/cm3. The density of states at the Fermi level is 0.972 states/eV per atom. The calculation puts the uncorrected formation energy at 0.583 eV per atom. The total magnetic moment is 0.00 μB/f.u.

---

3.
Computed, not measured: a relaxed IrCl3O crystal at the PBE level of DFT.

Structure (CIF):
```
data_IrCl3O
_space_group_name_H-M_alt 'P 1 2/c 1'
_space_group_IT_number 13
_space_group_name_Hall '-P 2yc'
_cell_length_a 7.068
_cell_length_b 6.474
_cell_length_c 12.638
_cell_angle_alpha 90.00
_cell_angle_beta 92.12
_cell_angle_gamma 90.00
loop_
_atom_site_label
_atom_site_fract_x
_atom_site_fract_y
_atom_site_fract_z
_atom_site_occupancy
Ir1 0.063 0.100 0.127 1
Cl1 0.094 0.214 0.531 1
Cl2 0.213 0.025 0.786 1
Cl3 0.345 0.210 0.061 1
O1 0.021 0.360 0.198 1
```

Output
The crystal system is monoclinic. The calculation puts the density at 3.62 g/cm3. The density of states at the Fermi level is 0.618 states/eV per atom. The calculation puts the uncorrected formation energy at -0.378 eV per atom. The total magnetic moment is 0.04 μB/f.u.

---

4.
Computed, not measured: a relaxed IrCl2O crystal at the PBE level of DFT.

Structure (CIF):
```
data_IrCl2O
_space_group_name_H-M_alt 'F m -3 m'
_space_group_IT_number 225
_space_group_name_Hall '-F 4 2 3'
_cell_length_a 6.012
_cell_length_b 6.012
_cell_length_c 6.012
_cell_angle_alpha 90.00
_cell_angle_beta 90.00
_cell_angle_gamma 90.00
loop_
_atom_site_label
_atom_site_fract_x
_atom_site_fract_y
_atom_site_fract_z
_atom_site_occupancy
Ir1 0.000 0.000 0.000 1
Cl1 0.250 0.250 0.250 1
O1 0.000 0.000 0.500 1
```

Output
The crystal system is cubic. The calculation puts the density at 8.53 g/cm3. The density of states at the Fermi level is 1.434 states/eV per atom. The calculation puts the uncorrected formation energy at 1.113 eV per atom. The total magnetic moment is 0.00 μB/f.u.

---

5.
Computed, not measured: a relaxed PIr2ClO crystal at the PBE level of DFT.

Structure (CIF):
```
data_PIr2ClO
_space_group_name_H-M_alt 'P 4/m m m'
_space_group_IT_number 123
_space_group_name_Hall '-P 4 2'
_cell_length_a 4.376
_cell_length_b 4.376
_cell_length_c 4.641
_cell_angle_alpha 90.00
_cell_angle_beta 90.00
_cell_angle_gamma 90.00
loop_
_atom_site_label
_atom_site_fract_x
_atom_site_fract_y
_atom_site_fract_z
_atom_site_occupancy
P1 0.000 0.000 0.000 1
Ir1 0.000 0.500 0.500 1
Cl1 0.000 0.000 0.500 1
O1 0.500 0.500 0.000 1
```

Output
The crystal system is tetragonal. The calculation puts the density at 8.72 g/cm3. The density of states at the Fermi level is 1.172 states/eV per atom. The calculation puts the uncorrected formation energy at 2.108 eV per atom. The total magnetic moment is 1.62 μB/f.u.

---

6.
Computed, not measured: a relaxed IrPb3Cl2O6 crystal at the PBE level of DFT.

Structure (CIF):
```
data_IrPb3Cl2O6
_space_group_name_H-M_alt 'C 1 2/m 1'
_space_group_IT_number 12
_space_group_name_Hall '-C 2y'
_cell_length_a 11.326
_cell_length_b 6.750
_cell_length_c 6.089
_cell_angle_alpha 90.00
_cell_angle_beta 102.35
_cell_angle_gamma 90.00
loop_
_atom_site_label
_atom_site_fract_x
_atom_site_fract_y
_atom_site_fract_z
_atom_site_occupancy
Ir1 0.000 0.000 0.000 1
Pb1 0.000 0.500 0.500 1
Pb2 0.250 0.250 0.000 1
Cl1 0.217 0.500 0.342 1
O1 0.057 0.214 0.822 1
O2 0.170 0.000 0.173 1
```

Output
The crystal system is monoclinic. The calculation puts the density at 7.16 g/cm3. The density of states at the Fermi level is 0.056 states/eV per atom. The calculation puts the uncorrected formation energy at -0.773 eV per atom. The total magnetic moment is 1.02 μB/f.u.

---

7.
Computed, not measured: a relaxed IrPdCl2O crystal at the PBE level of DFT.

Structure (CIF):
```
data_IrPdCl2O
_space_group_name_H-M_alt 'P 4/m m m'
_space_group_IT_number 123
_space_group_name_Hall '-P 4 2'
_cell_length_a 5.316
_cell_length_b 5.316
_cell_length_c 3.561
_cell_angle_alpha 90.00
_cell_angle_beta 90.00
_cell_angle_gamma 90.00
loop_
_atom_site_label
_atom_site_fract_x
_atom_site_fract_y
_atom_site_fract_z
_atom_site_occupancy
Ir1 0.000 0.000 0.000 1
Pd1 0.500 0.500 0.000 1
Cl1 0.000 0.500 0.500 1
O1 0.000 0.000 0.500 1
```

Output
The crystal system is tetragonal. The calculation puts the density at 6.36 g/cm3. The density of states at the Fermi level is 1.555 states/eV per atom. The calculation puts the uncorrected formation energy at 0.634 eV per atom. The total magnetic moment is 0.00 μB/f.u.

---

8.
Computed, not measured: a relaxed Pm3IrCl2O6 crystal at the PBE level of DFT.

Structure (CIF):
```
data_Pm3IrCl2O6
_space_group_name_H-M_alt 'C 1 2/m 1'
_space_group_IT_number 12
_space_group_name_Hall '-C 2y'
_cell_length_a 11.637
_cell_length_b 6.686
_cell_length_c 5.608
_cell_angle_alpha 90.00
_cell_angle_beta 98.61
_cell_angle_gamma 90.00
loop_
_atom_site_label
_atom_site_fract_x
_atom_site_fract_y
_atom_site_fract_z
_atom_site_occupancy
Pm1 0.000 0.000 0.000 1
Pm2 0.250 0.250 0.500 1
Ir1 0.000 0.500 0.500 1
Cl1 0.215 0.000 0.868 1
O1 0.056 0.265 0.300 1
O2 0.161 0.500 0.673 1
```

Output
The crystal system is monoclinic. The calculation puts the density at 6.11 g/cm3. The density of states at the Fermi level is 0.352 states/eV per atom. The calculation puts the uncorrected formation energy at -2.012 eV per atom. The total magnetic moment is 2.03 μB/f.u.